## La2TeCl (meta-GGA SCAN)

Data for La2TeCl at its PBEsol-relaxed geometry.

- ΔE_f (raw): -1722 meV/atom
- ΔE to the lowest computed polymorph: 0.000 eV per atom

a = 7.483 Å, b = 4.309 Å, c = 7.381 Å
α = 90.00°, β = 109.65°, γ = 90.00°
Space group C2/m (No. 12)
Asymmetric unit:
La  0.240  0.000  0.220
Te  0.000  0.000  0.500
Cl  0.000  0.500  0.000



## BaSb2Os (meta-GGA SCAN)

Data for BaSb2Os at its PBEsol-relaxed geometry.

- ΔE_f (raw): 399 meV/atom

a = 7.228 Å, b = 7.228 Å, c = 7.228 Å
α = 90.00°, β = 90.00°, γ = 90.00°
Space group Fm-3m (No. 225)
Asymmetric unit:
Ba  0.000  0.000  0.000
Sb  0.250  0.250  0.250
Os  0.000  0.000  0.500